The following is a DFT calculation (GGA-PBE) of crystalline Dy3Bi4Rh3 at its relaxed geometry.

a = 8.6020 Å, b = 8.6020 Å, c = 8.6020 Å
α = 109.47°, β = 109.47°, γ = 109.47°
Fractional coordinates of all 20 atoms:
Dy 0.1250 0.8750 0.2500
Dy 0.2500 0.1250 0.8750
Dy 0.3750 0.6250 0.7500
Dy 0.6250 0.7500 0.3750
Dy 0.7500 0.3750 0.6250
Dy 0.8750 0.2500 0.1250
Bi 0.0000 0.1589 0.5000
Bi 0.0000 0.6589 0.5000
Bi 0.1589 0.5000 0.0000
Bi 0.3411 0.3411 0.3411
Bi 0.5000 0.0000 0.1589
Bi 0.5000 0.0000 0.6589
Bi 0.6589 0.5000 0.0000
Bi 0.8411 0.8411 0.8411
Rh 0.1250 0.7500 0.8750
Rh 0.2500 0.6250 0.3750
Rh 0.3750 0.2500 0.6250
Rh 0.6250 0.3750 0.2500
Rh 0.7500 0.8750 0.1250
Rh 0.8750 0.1250 0.7500

Properties
The calculation puts the energy relative to the elements at -14.325 kcal/mol of atoms. The density of states at the Fermi level is 11.400 states/eV/f.u.